Compound: Cu2Hg2Bi
Source: Alexandria via LeMat-Bulk
Functional: GGA-PBE
Structure: optimized geometry

```
Cu2Hg2Bi
1.0
8.1660 0.0000 0.0000
0.0000 8.1660 0.0000
0.0000 0.0000 3.0505
Cu Hg Bi
4 4 2
direct
0.1641 0.3359 0.0000 Cu
0.3359 0.8359 0.0000 Cu
0.6641 0.1641 0.0000 Cu
0.8359 0.6641 0.0000 Cu
0.1324 0.6324 0.5000 Hg
0.3676 0.1324 0.5000 Hg
0.6324 0.8676 0.5000 Hg
0.8676 0.3676 0.5000 Hg
0.0000 0.0000 0.5000 Bi
0.5000 0.5000 0.5000 Bi
```

E	-22.7	eV for the cell shown
M_tot	0.0	μB/f.u.
symmetry	No. 127
energy of formation from the pure elements	0.27	eV/atom
relative energy among the computed polymorphs	85	meV per atom

---

Compound: CuHg3Bi
Source: Alexandria via LeMat-Bulk
Functional: GGA-PBE
Structure: optimized geometry

```
CuHg3Bi
1.0
5.8529 0.0000 0.0000
0.0000 5.8529 0.0000
0.0000 0.0000 5.8529
Cu Hg Bi
1 3 1
direct
0.0000 0.0000 0.0000 Cu
0.0000 0.5000 0.5000 Hg
0.5000 0.0000 0.5000 Hg
0.5000 0.5000 0.0000 Hg
0.5000 0.5000 0.5000 Bi
```

E	-5.5	eV for the cell shown
M_tot	0.0	μB/f.u.
symmetry	No. 221
energy of formation from the pure elements	0.67	eV/atom
relative energy among the computed polymorphs	382	meV per atom